First-principles (PBE with a Hubbard U) data for a geometry-optimized Li2Ni3SnO6 structure, as listed in the Alexandria database.

Output
Total DFT energy (no corrections) = -5.2497 eV/atom
Spin magnetization = 6.00 μB per formula unit
V = 232.4 Å³ per cell

abc: 5.228 9.025 5.228
angles: 90.00 109.60 90.00
Space group C2/m (No. 12)
Inequivalent atoms, fractional coordinates:
Li  0.000  0.165  0.000
Ni  0.000  0.000  0.500
Ni  0.000  0.330  0.500
Sn  0.000  0.500  0.000
O  0.237  0.500  0.748
O  0.246  0.339  0.257